# 1
Here is a crystal of HfOsSe2 relaxed with PBEsol from Alexandria. Energies are from SCAN.

Cell: 4.470 4.470 15.602 Å, 90.00 90.00 90.00°
Fractional coordinates of all 16 atoms:
Hf1 0.000 0.000 0.000
Hf2 0.000 0.500 0.250
Hf3 0.500 0.000 0.750
Hf4 0.500 0.500 0.500
Os1 0.000 0.000 0.500
Os2 0.000 0.500 0.750
Os3 0.500 0.000 0.250
Os4 0.500 0.500 0.000
Se1 0.224 0.250 0.625
Se2 0.250 0.724 0.875
Se3 0.250 0.776 0.375
Se4 0.276 0.250 0.125
Se5 0.724 0.750 0.125
Se6 0.750 0.224 0.375
Se7 0.750 0.276 0.875
Se8 0.776 0.750 0.625

Output
Its energy relative to the elements, uncorrected is -49 kJ/mol of formula units. The offset from the most stable computed form is 0.0 meV per atom. The total magnetization comes out at 0.000 μB/atom. As for the space-group type: I-42d. The calculation puts the total energy at -43.805 eV per atom.

=====

# 2
Here is a crystal of TeMoP2O relaxed with PBEsol from Alexandria. Energies are from SCAN.

Cell: 4.943 4.943 3.828 Å, 90.00 90.00 90.00°
Fractional coordinates of all 5 atoms:
Te1 0.000 0.000 0.000
Mo1 0.500 0.500 0.500
P1 0.000 0.500 0.000
P2 0.500 0.000 0.000
O1 0.000 0.000 0.500

Output
Its energy relative to the elements, uncorrected is 410 kJ/mol of formula units. The total magnetization comes out at 0.558 μB/atom. As for the space-group type: P4/mmm. The calculation puts the total energy at -18.983 eV per atom.

=====

# 3
Here is a crystal of SiPb3W relaxed with PBEsol from Alexandria. Energies are from SCAN.

Cell: 5.327 5.327 5.327 Å, 90.00 90.00 90.00°
Fractional coordinates of all 5 atoms:
Si1 0.000 0.000 0.000
Pb1 0.000 0.500 0.500
Pb2 0.500 0.000 0.500
Pb3 0.500 0.500 0.000
W1 0.500 0.500 0.500

Output
Its energy relative to the elements, uncorrected is 537 kJ/mol of formula units. The offset from the most stable computed form is 0.0 meV per atom. The total magnetization comes out at 0.537 μB/atom. As for the space-group type: Pm-3m. The calculation puts the total energy at -60.297 eV per atom.

=====

# 4
Here is a crystal of BaCoTe2 relaxed with PBEsol from Alexandria. Energies are from SCAN.

Cell: 7.333 7.411 4.111 Å, 90.00 90.00 90.00°
Fractional coordinates of all 8 atoms:
Ba1 0.000 0.000 0.000
Ba2 0.500 0.500 0.000
Co1 0.000 0.500 0.000
Co2 0.500 0.000 0.000
Te1 0.250 0.250 0.500
Te2 0.250 0.750 0.500
Te3 0.750 0.250 0.500
Te4 0.750 0.750 0.500

Output
Its energy relative to the elements, uncorrected is -88 kJ/mol of formula units. The total magnetization comes out at 0.601 μB/atom. As for the space-group type: Cmmm. The calculation puts the total energy at -33.067 eV per atom.

=====

# 5
Here is a crystal of YAg2P2 relaxed with PBEsol from Alexandria. Energies are from SCAN.

Cell: 3.891 3.891 11.750 Å, 90.00 90.00 90.00°
Fractional coordinates of all 10 atoms:
Y1 0.000 0.000 0.000
Y2 0.500 0.500 0.500
Ag1 0.000 0.500 0.250
Ag2 0.000 0.500 0.750
Ag3 0.500 0.000 0.250
Ag4 0.500 0.000 0.750
P1 0.000 0.000 0.401
P2 0.000 0.000 0.599
P3 0.500 0.500 0.099
P4 0.500 0.500 0.901

Output
The value obtained for the formation energy is -47.2 kJ per mole of atoms. The total magnetization comes out at 0.000 μB/atom. As for the space-group type: I4/mmm. The calculation puts the total energy at -22.764 eV per atom.

=====

# 6
Here is a crystal of CuTcSb2 relaxed with PBEsol from Alexandria. Energies are from SCAN.

Cell: 6.643 6.643 6.643 Å, 90.00 90.00 90.00°
Fractional coordinates of all 16 atoms:
Cu1 0.000 0.000 0.000
Cu2 0.000 0.500 0.500
Cu3 0.500 0.000 0.500
Cu4 0.500 0.500 0.000
Tc1 0.250 0.250 0.250
Tc2 0.250 0.750 0.750
Tc3 0.750 0.250 0.750
Tc4 0.750 0.750 0.250
Sb1 0.000 0.000 0.500
Sb2 0.000 0.500 0.000
Sb3 0.250 0.250 0.750
Sb4 0.250 0.750 0.250
Sb5 0.500 0.000 0.000
Sb6 0.500 0.500 0.500
Sb7 0.750 0.250 0.250
Sb8 0.750 0.750 0.750

Output
Its energy relative to the elements, uncorrected is 321 kJ/mol of formula units. The offset from the most stable computed form is 650.8 meV per atom. The total magnetization comes out at 0.000 μB/atom. As for the space-group type: F-43m. The calculation puts the total energy at -30.363 eV per atom.

=====

# 7
Here is a crystal of Y2TcNiP relaxed with PBEsol from Alexandria. Energies are from SCAN.

Cell: 5.074 5.074 4.257 Å, 90.00 90.00 90.00°
Fractional coordinates of all 5 atoms:
Y1 0.000 0.500 0.000
Y2 0.500 0.000 0.000
Tc1 0.000 0.000 0.500
Ni1 0.000 0.000 0.000
P1 0.500 0.500 0.500

Output
The value obtained for the formation energy is 5.9 kJ per mole of atoms. The total magnetization comes out at 0.187 μB/atom. As for the space-group type: P4/mmm. The calculation puts the total energy at -23.402 eV per atom.

=====

# 8
Here is a crystal of Li2ZnPb relaxed with PBEsol from Alexandria. Energies are from SCAN.

Cell: 3.674 4.502 8.855 Å, 90.00 90.00 90.00°
Fractional coordinates of all 8 atoms:
Li1 0.000 0.000 0.000
Li2 0.000 0.500 0.246
Li3 0.500 0.000 0.746
Li4 0.500 0.500 0.500
Zn1 0.000 0.000 0.514
Zn2 0.500 0.500 0.014
Pb1 0.000 0.500 0.760
Pb2 0.500 0.000 0.260

Output
The value obtained for the formation energy is -22.7 kJ per mole of atoms. The total magnetization comes out at 0.000 μB/atom. As for the space-group type: Imm2. The calculation puts the total energy at -23.755 eV per atom.